This record from Alexandria via LeMat-Bulk describes a geometry-optimized SrLi2Br structure. The functional is PBEsol.

SG = No. 65
uncorrected formation energy = -173 kJ/mol of formula units
offset from the most stable computed form = 18.6 kJ/mol of atoms
D(E_F) = 2.11 states/eV/f.u.

POSCAR file:
```
SrLi2Br
1.0
3.928 0.000 0.000
0.000 5.945 0.000
0.000 -2.972 5.662
Sr Br Li
1 1 2
direct
0.500 0.000 0.000
0.500 0.500 0.000
0.000 0.500 0.500
0.000 0.000 0.500
```